CsAlBi2Te at its PBEsol-relaxed geometry, computed with meta-GGA SCAN.

**Uncorrected energy**: -47.70 eV/atom
**Total magnetization**: 0.0 μB/f.u.

Cell and atoms, written as CIF:
```
data_CsAlBi2Te
_symmetry_space_group_name_H-M 'P 4/m m m'
_symmetry_Int_Tables_number 123
_symmetry_space_group_name_Hall '-P 4 2'
_cell_length_a 5.3798
_cell_length_b 5.3798
_cell_length_c 6.4495
_cell_angle_alpha 90.00
_cell_angle_beta 90.00
_cell_angle_gamma 90.00
loop_
_atom_site_label
_atom_site_type_symbol
_atom_site_fract_x
_atom_site_fract_y
_atom_site_fract_z
_atom_site_occupancy
Cs1 Cs 0.0000 0.0000 0.0000 1
Al1 Al 0.0000 0.0000 0.5000 1
Bi1 Bi 0.0000 0.5000 0.5000 1
Te1 Te 0.5000 0.5000 0.0000 1
```